Compound: LiCaPb3
Source: the Alexandria database
Functional: GGA-PBE
Structure: relaxed

```
LiCaPb3
1.0
5.247 0.000 0.000
0.000 5.247 0.000
0.000 0.000 5.247
Ca Pb Li
1 3 1
direct
0.500 0.500 0.500
0.500 0.000 0.000
0.000 0.000 0.500
0.000 0.500 0.000
0.000 0.000 0.000
```

Calculated values
* energy above the most stable polymorph in this dataset: 116 meV/atom
* energy of formation: -129.5 meV per atom
* E: -15.7 eV for the cell shown